[1]
## Al2CrOs (GGA-PBE)

Data for a relaxed structure of Al2CrOs.

Cell lengths 3.054, 4.175, 8.636 Å; angles 90.00, 90.00, 90.00 degrees
Space group Imm2 (No. 44)
One atom of each set of equivalent atoms:
Al 0.000 0.000 0.000 x2
Al 0.000 0.500 0.229 x2
Cr 0.000 0.500 0.746 x2
Os 0.000 0.000 0.480 x2

Energy above the most stable polymorph in this dataset, meV per atom: 123
Calculated total energy, eV per atom: -7.293
Calculated formation energy, eV per formula unit: -0.8

=====

[2]
## AlCrOs2 (GGA-PBE)

Data for a relaxed structure of AlCrOs2.

Cell lengths 2.920, 4.470, 8.382 Å; angles 90.00, 90.00, 90.00 degrees
Space group Immm (No. 71)
One atom of each set of equivalent atoms:
Al 0.000 0.000 0.000 x2
Cr 0.000 0.000 0.500 x2
Os 0.000 0.500 0.252 x4

Calculated total energy, eV per atom: -8.951
Calculated formation energy, eV per formula unit: 0.0

=====

[3]
## Al2CrOs (GGA-PBE)

Data for a relaxed structure of Al2CrOs.

Cell lengths 2.7573, 2.7573, 25.4202 Å; angles 90.00, 90.00, 120.00 degrees
Space group R-3m (No. 166, hexagonal axes)
One atom of each set of equivalent atoms:
Al 0.0000 0.0000 0.2492 x6
Cr 0.0000 0.0000 0.5000 x3
Os 0.0000 0.0000 0.0000 x3

Energy above the most stable polymorph in this dataset, meV per atom: 332
Calculated total energy, eV per atom: -7.085
Calculated formation energy, eV per formula unit: 0.0

=====

Among the records above, which one has the highest calculated total energy?
number 3